[1]
# PmFe3C4O12 (PBE with a Hubbard U, relaxed)
# V (A^3/atom): 11.16
# M_tot (μB per atom): 0.5492
# Total DFT energy (no corrections) (eV for the cell shown): -448.73
data_PmFe3C4O12
_chemical_formula_sum 'Pm3 Fe9 C12 O36'
_space_group_name_H-M_alt 'R 3 2'
_space_group_IT_number 155
_space_group_name_Hall 'R 3 2"'
_cell_length_a 9.7362
_cell_length_b 9.7362
_cell_length_c 8.1542
_cell_angle_alpha 90.00
_cell_angle_beta 90.00
_cell_angle_gamma 120.00
loop_
_atom_site_label
_atom_site_fract_x
_atom_site_fract_y
_atom_site_fract_z
Pm1 0.0000 0.0000 0.0000
Fe1 0.0000 0.5398 0.0000
C1 0.0000 0.0000 0.5000
C2 0.0000 0.4586 0.5000
O1 0.0000 0.5923 0.5000
O2 0.0000 0.8664 0.5000
O3 0.0078 0.2057 0.1731

---

[2]
# PrFe3C4O12 (PBE with a Hubbard U, relaxed)
# V (A^3/atom): 11.28
# M_tot (μB per atom): 0.5492
# Total DFT energy (no corrections) (eV for the cell shown): -448.56
data_PrFe3C4O12
_chemical_formula_sum 'Pr3 Fe9 C12 O36'
_space_group_name_H-M_alt 'R 3 2'
_space_group_IT_number 155
_space_group_name_Hall 'R 3 2"'
_cell_length_a 9.7744
_cell_length_b 9.7744
_cell_length_c 8.1784
_cell_angle_alpha 90.00
_cell_angle_beta 90.00
_cell_angle_gamma 120.00
loop_
_atom_site_label
_atom_site_fract_x
_atom_site_fract_y
_atom_site_fract_z
Pr1 0.0000 0.0000 0.0000
Fe1 0.0000 0.5409 0.0000
C1 0.0000 0.0000 0.5000
C2 0.0000 0.4572 0.5000
O1 0.0000 0.5907 0.5000
O2 0.0000 0.8668 0.5000
O3 0.0087 0.2074 0.1752

---

[3]
# RbFe3C4O12 (PBE with a Hubbard U, relaxed)
# V (A^3/atom): 11.54
# M_tot (μB per atom): 0.6500
# Total DFT energy (no corrections) (eV for the cell shown): -429.36
data_RbFe3C4O12
_chemical_formula_sum 'Rb3 Fe9 C12 O36'
_space_group_name_H-M_alt 'R 3 2'
_space_group_IT_number 155
_space_group_name_Hall 'R 3 2"'
_cell_length_a 9.6981
_cell_length_b 9.6981
_cell_length_c 8.5029
_cell_angle_alpha 90.00
_cell_angle_beta 90.00
_cell_angle_gamma 120.00
loop_
_atom_site_label
_atom_site_fract_x
_atom_site_fract_y
_atom_site_fract_z
Rb1 0.0000 0.0000 0.0000
Fe1 0.0000 0.5454 0.0000
C1 0.0000 0.0000 0.5000
C2 0.0000 0.4557 0.5000
O1 0.0000 0.5930 0.5000
O2 0.0000 0.8657 0.5000
O3 0.0023 0.2104 0.2145

---

[4]
# RbFe2C2O7 (PBE with a Hubbard U, relaxed)
# V (A^3/atom): 17.78
# M_tot (μB per atom): 0.7500
# Total DFT energy (no corrections) (eV for the cell shown): -246.25
data_RbFe2C2O7
_chemical_formula_sum 'Rb3 Fe6 C6 O21'
_space_group_name_H-M_alt 'R 3 2'
_space_group_IT_number 155
_space_group_name_Hall 'R 3 2"'
_cell_length_a 5.1237
_cell_length_b 5.1237
_cell_length_c 28.1528
_cell_angle_alpha 90.00
_cell_angle_beta 90.00
_cell_angle_gamma 120.00
loop_
_atom_site_label
_atom_site_fract_x
_atom_site_fract_y
_atom_site_fract_z
Rb1 0.0000 0.0000 0.0000
Fe1 0.0000 0.0000 0.4354
C1 0.0000 0.0000 0.2604
O1 0.0000 0.0000 0.5000
O2 0.0406 0.2709 0.2615

---

[5]
# RbFeC2O6 (PBE with a Hubbard U, relaxed)
# V (A^3/atom): 13.55
# M_tot (μB per atom): 0.4957
# Total DFT energy (no corrections) (eV for the cell shown): -210.84
data_RbFeC2O6
_chemical_formula_sum 'Rb3 Fe3 C6 O18'
_space_group_name_H-M_alt 'R -3'
_space_group_IT_number 148
_space_group_name_Hall '-R 3'
_cell_length_a 4.9283
_cell_length_b 4.9283
_cell_length_c 19.3262
_cell_angle_alpha 90.00
_cell_angle_beta 90.00
_cell_angle_gamma 120.00
loop_
_atom_site_label
_atom_site_fract_x
_atom_site_fract_y
_atom_site_fract_z
Rb1 0.0000 0.0000 0.0000
Fe1 0.0000 0.0000 0.5000
C1 0.0000 0.0000 0.2254
O1 0.0450 0.4397 0.8941

---

[6]
# SrFe2C2O7 (PBE with a Hubbard U, relaxed)
# V (A^3/atom): 16.60
# M_tot (μB per atom): 0.6667
# Total DFT energy (no corrections) (eV for the cell shown): -252.70
data_SrFe2C2O7
_chemical_formula_sum 'Sr3 Fe6 C6 O21'
_space_group_name_H-M_alt 'R 3 2'
_space_group_IT_number 155
_space_group_name_Hall 'R 3 2"'
_cell_length_a 5.0894
_cell_length_b 5.0894
_cell_length_c 26.6460
_cell_angle_alpha 90.00
_cell_angle_beta 90.00
_cell_angle_gamma 120.00
loop_
_atom_site_label
_atom_site_fract_x
_atom_site_fract_y
_atom_site_fract_z
Sr1 0.0000 0.0000 0.0000
Fe1 0.0000 0.0000 0.4318
C1 0.0000 0.0000 0.2737
O1 0.0000 0.0000 0.5000
O2 0.0257 0.2671 0.2746

---

Copy entry 4 word for word.
# RbFe2C2O7 (PBE with a Hubbard U, relaxed)
# V (A^3/atom): 17.78
# M_tot (μB per atom): 0.7500
# Total DFT energy (no corrections) (eV for the cell shown): -246.25
data_RbFe2C2O7
_chemical_formula_sum 'Rb3 Fe6 C6 O21'
_space_group_name_H-M_alt 'R 3 2'
_space_group_IT_number 155
_space_group_name_Hall 'R 3 2"'
_cell_length_a 5.1237
_cell_length_b 5.1237
_cell_length_c 28.1528
_cell_angle_alpha 90.00
_cell_angle_beta 90.00
_cell_angle_gamma 120.00
loop_
_atom_site_label
_atom_site_fract_x
_atom_site_fract_y
_atom_site_fract_z
Rb1 0.0000 0.0000 0.0000
Fe1 0.0000 0.0000 0.4354
C1 0.0000 0.0000 0.2604
O1 0.0000 0.0000 0.5000
O2 0.0406 0.2709 0.2615

---

> Which of these has the highest V?

RbFe2C2O7

---

Copy entry 2 word for word.
# PrFe3C4O12 (PBE with a Hubbard U, relaxed)
# V (A^3/atom): 11.28
# M_tot (μB per atom): 0.5492
# Total DFT energy (no corrections) (eV for the cell shown): -448.56
data_PrFe3C4O12
_chemical_formula_sum 'Pr3 Fe9 C12 O36'
_space_group_name_H-M_alt 'R 3 2'
_space_group_IT_number 155
_space_group_name_Hall 'R 3 2"'
_cell_length_a 9.7744
_cell_length_b 9.7744
_cell_length_c 8.1784
_cell_angle_alpha 90.00
_cell_angle_beta 90.00
_cell_angle_gamma 120.00
loop_
_atom_site_label
_atom_site_fract_x
_atom_site_fract_y
_atom_site_fract_z
Pr1 0.0000 0.0000 0.0000
Fe1 0.0000 0.5409 0.0000
C1 0.0000 0.0000 0.5000
C2 0.0000 0.4572 0.5000
O1 0.0000 0.5907 0.5000
O2 0.0000 0.8668 0.5000
O3 0.0087 0.2074 0.1752

---

> Look up the V of the third one.

11.54 A^3/atom